Compound: BaSn2WF
Source: the Alexandria database
Functional: PBE+U
Structure: optimized geometry

Results
crystal system = tetragonal
calculated total energy = -3.447 eV/atom
V = 199 Å³/f.u.

Cell: 6.5370 4.6567 6.5370 Å, 90.00 90.00 90.00°
With the nearest neighbours (Å) after each atom.
Fractional coordinates of all 5 atoms:
F  0.0000  0.5000  0.0000  2 Ba 2.33
Ba  0.0000  0.0000  0.0000  2 F 2.33
Sn  0.5000  0.0000  0.0000  2 Ba 3.27
Sn  0.0000  0.0000  0.5000  2 Ba 3.27
W  0.5000  0.5000  0.5000  8 Sn 4.01